Record 1
Entry from Alexandria via LeMat-Bulk: crystalline La5Er2Th2 at its relaxed geometry (PBE-GGA).

## Properties
Density ... 7971 kg/m³
Formation energy from the elements ... 0.14 eV per atom
E ... -5.257 eV per atom

a b c (Å): 6.2687 6.2751 8.8980
angles (deg): 74.80 74.31 70.01
Closest atoms and distances in Å follow each position.
Element x y z (fractional)
La: 0.0000 0.0000 0.0000  4 La 3.51-3.52, 4 Er 3.89-3.92
La: 0.2170 0.6622 0.7032  3 La 3.21-3.51, 1 Er 3.43, 2 Th 3.45-3.53
La: 0.3422 0.7888 0.2930  3 La 3.21-3.52, 1 Er 3.44, 3 Th 3.46-3.59
La: 0.6578 0.2112 0.7070  3 La 3.21-3.52, 1 Er 3.44, 3 Th 3.46-3.59
La: 0.7830 0.3378 0.2968  3 La 3.21-3.51, 1 Er 3.43, 2 Th 3.45-3.53
Er: 0.3347 0.3442 0.1036  1 Er 3.21, 2 La 3.43-3.44, 1 Th 3.55
Er: 0.6653 0.6558 0.8964  1 Er 3.21, 2 La 3.43-3.44, 1 Th 3.55
Th: 0.2175 0.2205 0.5259  8 La 3.45-3.84, 1 Er 3.55, 2 Th 3.64-3.67
Th: 0.7825 0.7795 0.4741  8 La 3.45-3.84, 1 Er 3.55, 2 Th 3.64-3.67


Record 2
Entry from Alexandria via LeMat-Bulk: crystalline Ti2NiPt at its relaxed geometry (PBE-GGA).

## Properties
Density ... 9965 kg/m³
Formation energy from the elements ... -0.64 eV per atom
E ... -7.540 eV per atom

a b c (Å): 3.9231 3.9231 3.7841
angles (deg): 90.00 90.00 90.00
Closest atoms and distances in Å follow each position.
Element x y z (fractional)
Ti: 0.0000 0.5000 0.0000  4 Ni 2.73, 4 Pt 2.73, 4 Ti 2.77
Ti: 0.5000 0.0000 0.0000  4 Ni 2.73, 4 Pt 2.73, 4 Ti 2.77
Ni: 0.0000 0.0000 0.5000  8 Ti 2.73, 4 Pt 2.77
Pt: 0.5000 0.5000 0.5000  8 Ti 2.73, 4 Ni 2.77


Record 3
Entry from Alexandria via LeMat-Bulk: crystalline KAl at its relaxed geometry (PBE-GGA).

## Properties
Density ... 1744 kg/m³
Formation energy from the elements ... 0.55 eV per atom
E ... -1.867 eV per atom

a b c (Å): 3.4753 3.4753 12.0298
angles (deg): 90.00 90.00 120.00
Closest atoms and distances in Å follow each position.
Element x y z (fractional)
K: 0.0000 0.0000 0.0000  6 K 3.48, 6 Al 3.62
K: 0.0000 0.0000 0.5000  6 K 3.48, 6 Al 3.62
Al: 0.3333 0.6667 0.2500  6 Al 3.48, 6 K 3.62
Al: 0.6667 0.3333 0.7500  6 Al 3.48, 6 K 3.62


Record 4
Entry from Alexandria via LeMat-Bulk: crystalline Zr2SbCl at its relaxed geometry (PBE-GGA).

## Properties
Density ... 6179 kg/m³
Formation energy without anion corrections ... -0.625 eV per atom
E ... -6.391 eV per atom

a b c (Å): 3.6114 3.8357 6.5899
angles (deg): 90.00 90.29 90.00
Closest atoms and distances in Å follow each position.
Element x y z (fractional)
Zr: 0.0024 0.0000 0.2370  2 Cl 2.59
Zr: 0.9976 0.0000 0.7630  2 Cl 2.59
Sb: 0.5000 0.5000 0.0000  8 Zr 3.06
Cl: 0.0000 0.5000 0.5000  4 Zr 2.59


> Among the records above, which one has the lowest density?

KAl